No. 1
First-principles (PBE-GGA) data for a relaxed ScSbSe crystal, as listed in Alexandria.

Unit cell a=4.777 b=4.777 c=4.777 alpha=60.00 beta=60.00 gamma=60.00
Positions (direct):
Sc  0.500  0.500  0.500
Se  0.250  0.250  0.250
Sb  0.000  0.000  0.000

Calculated values
Calculated total energy: -4.934 eV/atom
Formation energy (no corrections): -83 kJ/mol of formula units
Symmetry: F-43m


No. 2
First-principles (PBE-GGA) data for a relaxed Sr4CoIr crystal, as listed in Alexandria.

Unit cell a=6.453 b=6.453 c=6.453 alpha=60.00 beta=60.00 gamma=60.00
Positions (direct):
Sr  0.877  0.374  0.374
Ir  0.000  0.000  0.000
Sr  0.374  0.374  0.374
Sr  0.374  0.877  0.374
Sr  0.374  0.374  0.877
Co  0.750  0.750  0.750

Calculated values
Calculated total energy: -2.489 eV/atom
Symmetry: F-43m
DFT formation energy: 1.293 eV/atom